No. 1
{
  "formula": "Tb12Tm6Cd",
  "functional": "PBE",
  "state": "relaxed",
  "sg": "R-3 (148)",
  "relative_energy_mev_per_atom": 0,
  "formation_energy_kj_per_mol_atoms": 10.3,
  "cell": [[-6.8495, 4.6471, -1.5759], [-4.7186, -5.0187, 4.8520], [1.5210, 4.8190, 6.7422]],
  "species": ["Tb", "Tm", "Tb", "Cd", "Tb", "Tb", "Tm", "Tm", "Tm", "Tb", "Tb", "Tb", "Tb", "Tm", "Tb", "Tm", "Tb", "Tb", "Tb"],
  "fractional_positions": [[0.0154, 0.1764, 0.3650], [0.2849, 0.7394, 0.9005], [0.8236, 0.6350, 0.9846], [0.0000, 0.0000, 0.0000], [0.1764, 0.3650, 0.0154], [0.7833, 0.5378, 0.4340], [0.9005, 0.2849, 0.7394], [0.2606, 0.0995, 0.7151], [0.0995, 0.7151, 0.2606], [0.4622, 0.5660, 0.2167], [0.3650, 0.0154, 0.1764], [0.5660, 0.2167, 0.4622], [0.9846, 0.8236, 0.6350], [0.7151, 0.2606, 0.0995], [0.4340, 0.7833, 0.5378], [0.7394, 0.9005, 0.2849], [0.6350, 0.9846, 0.8236], [0.5378, 0.4340, 0.7833], [0.2167, 0.4622, 0.5660]]
}

---

No. 2
{
  "formula": "Mg2InSnHg8",
  "functional": "PBE",
  "state": "relaxed",
  "sg": "P-3m1 (164)",
  "formation_energy_kj_per_mol_atoms": 4.0,
  "cell": [[-4.6497, 4.5643, 1.6283], [0.6702, -5.5734, 3.6867], [5.4573, 3.8415, 4.8153]],
  "species": ["Hg", "Hg", "Mg", "Hg", "Mg", "Hg", "Hg", "Hg", "Hg", "In", "Sn", "Hg"],
  "fractional_positions": [[0.1832, 0.3663, 0.2533], [0.1832, 0.8168, 0.2533], [0.6667, 0.3333, 0.0553], [0.3333, 0.6667, 0.5993], [0.3333, 0.6667, 0.9447], [0.8168, 0.1832, 0.7467], [0.6667, 0.3333, 0.4007], [0.8168, 0.6337, 0.7467], [0.3663, 0.1832, 0.7467], [0.0000, 0.0000, 0.5000], [0.0000, 0.0000, 0.0000], [0.6337, 0.8168, 0.2533]]
}

---

No. 3
{
  "formula": "TaTcBr",
  "functional": "PBE",
  "state": "relaxed",
  "sg": "Fmm2 (42)",
  "raw_formation_energy_mev_per_atom": 318,
  "relative_energy_mev_per_atom": 252,
  "cell": [[-2.5085, -6.2045, 0.1833], [-1.1936, -5.8266, -2.6577], [2.0760, -1.7866, 1.5625]],
  "species": ["Ta", "Br", "Tc"],
  "fractional_positions": [[0.3154, 0.3154, 0.6846], [0.9916, 0.9916, 0.0084], [0.6930, 0.6930, 0.3070]]
}

---

No. 4
{
  "formula": "TiBe3Se",
  "functional": "PBE",
  "state": "relaxed",
  "sg": "Pm-3m (221)",
  "raw_formation_energy_mev_per_atom": 992,
  "relative_energy_mev_per_atom": 0,
  "cell": [[-3.5371, -2.0552, -1.1507], [2.2016, -3.6227, -0.2971], [-0.8373, -0.8434, 4.0800]],
  "species": ["Se", "Ti", "Be", "Be", "Be"],
  "fractional_positions": [[0.0000, 0.0000, 0.0000], [0.5000, 0.5000, 0.5000], [0.5000, 0.0000, 0.0000], [0.0000, 0.0000, 0.5000], [0.0000, 0.5000, 0.0000]]
}

---

We obtain E values of -81.3, -11.8, -22.9, -17.6 eV/cell for the records listed above, in that order.
We obtain theoretical density values of 8.42, 9.75, 9.93, 3.33 g/cm3 for the records listed above, in that order.